Density functional theory data (PBE) for TmMgAg after structural relaxation.

Cell lengths 3.9867, 7.7376, 7.7376 Å; angles 120.00, 90.00, 90.00 degrees
Fractional coordinates of all 9 atoms:
Mg: 0.0000 0.2503 0.0000
Mg: 0.0000 0.7497 0.7497
Mg: 0.0000 0.0000 0.2503
Tm: 0.5000 0.5879 0.0000
Tm: 0.5000 0.0000 0.5879
Tm: 0.5000 0.4121 0.4121
Ag: 0.0000 0.3333 0.6667
Ag: 0.0000 0.6667 0.3333
Ag: 0.5000 0.0000 0.0000

space group: P-62m
uncorrected energy: -29.10 eV for the cell shown
V: 207 Å³ per cell